10
Lattice="7.071 0.000 0.000 0.000 7.071 0.000 0.000 0.000 3.666" Properties=species:S:1:pos:R:3 comment="HfZn2As2 | Alexandria | PBE | relaxed" magmom_total_mub_per_cell=0.00 dft_energy_ev_per_cell=-45.174 rho_kg_m3=8318 dos_ef_per_ev_cell=6.08 delta_e_f_ev_per_atom=-0.157 pbc="T T T"
Hf 0.000 0.000 0.000
Hf 3.536 3.536 0.000
Zn 1.064 2.472 1.833
Zn 2.472 6.008 1.833
Zn 4.599 1.064 1.833
Zn 6.008 4.599 1.833
As 1.105 4.640 0.000
As 2.431 1.105 0.000
As 4.640 5.967 0.000
As 5.967 2.431 0.000